ScBeHgAu after structural relaxation, computed with PBE.

## Properties
M_tot   0.0 μB/f.u.
Offset from the most stable computed form   85 meV per atom
Space group   F-43m, No. 216
Calculated volume   70 Å³/cell

POSCAR file:
```
ScBeHgAu
1.0
0.000 3.274 3.274
3.274 0.000 3.274
3.274 3.274 0.000
Au Be Hg Sc
1 1 1 1
Direct
0.750 0.750 0.750 Au
0.250 0.250 0.250 Be
0.500 0.500 0.500 Hg
0.000 0.000 0.000 Sc
```